1.
A plane-wave DFT calculation with GGA-PBE was carried out for a relaxed Co5As crystal.

## Properties
For the energy of formation, the calculation gives 0.8 eV per formula unit. Its total energy is -39.37 eV/cell.

a = 2.7003 Å, b = 2.7003 Å, c = 9.5542 Å
α = 90.00°, β = 90.00°, γ = 90.00°
With the nearest neighbours (Å) after each atom.
Atoms (fractional coordinates):
Co  0.0000  0.0000  0.5000  12 Co 2.46-2.70
Co  0.0000  0.0000  0.8308  8 Co 2.50-2.70, 4 As 2.50
Co  0.5000  0.5000  0.3373  12 Co 2.46-2.70
Co  0.0000  0.0000  0.1692  8 Co 2.50-2.70, 4 As 2.50
Co  0.5000  0.5000  0.6627  12 Co 2.46-2.70
As  0.5000  0.5000  0.0000  8 Co 2.50, 4 As 2.70

---

2.
A plane-wave DFT calculation with GGA-PBE was carried out for a relaxed La5Co3 crystal.

## Properties
For the energy above the most stable polymorph in this dataset, the calculation gives 210 meV/atom. For the energy of formation, the calculation gives 0.8 eV per formula unit. Its total energy is -45.19 eV/cell.

a = 7.2069 Å, b = 7.2069 Å, c = 4.3149 Å
α = 90.00°, β = 90.00°, γ = 111.88°
With the nearest neighbours (Å) after each atom.
Atoms (fractional coordinates):
Co  0.1538  0.8462  0.5000  8 La 2.83-3.17
Co  0.8462  0.1538  0.5000  8 La 2.83-3.17
Co  0.5000  0.5000  0.0000  4 La 2.66
La  0.5000  0.0000  0.0000  4 Co 3.17
La  0.6931  0.6931  0.5000  2 Co 2.66
La  0.3069  0.3069  0.5000  2 Co 2.66
La  0.0000  0.0000  0.0000  4 Co 2.83
La  0.0000  0.5000  0.0000  4 Co 3.17